Record 1
# KMgCl3 (PBE-GGA, relaxed)
# **Crystal system**: cubic
# **Total DFT energy (no corrections)**: -2.315 eV per atom
# **Density of states at the Fermi level**: 1.650 states/eV/f.u.
# **ρ**: 1.7 g/cm³
data_KMgCl3
_chemical_formula_sum 'K1 Mg1 Cl3'
_cell_length_a 5.527
_cell_length_b 5.527
_cell_length_c 5.527
_cell_angle_alpha 90.00
_cell_angle_beta 90.00
_cell_angle_gamma 90.00
_symmetry_space_group_name_H-M 'P m -3 m'
_symmetry_Int_Tables_number 221
_symmetry_space_group_name_Hall '-P 4 2 3'
loop_
_atom_site_label
_atom_site_fract_x
_atom_site_fract_y
_atom_site_fract_z
K1 0.000 0.000 0.000
Mg1 0.500 0.500 0.500
Cl1 0.000 0.000 0.500


Record 2
# Sm4Er7Sc (PBE-GGA, relaxed)
# **Formation enthalpy at 0 K**: 0.1015 eV per atom
# **Energy above the most stable polymorph in this dataset**: 0 meV per atom
# **Crystal system**: triclinic
# **Density of states at the Fermi level**: 20.355 states/eV/f.u.
# **ρ**: 8.0 g/cm³
data_Sm4Er7Sc
_chemical_formula_sum 'Sm4 Er7 Sc1'
_cell_length_a 6.430
_cell_length_b 6.737
_cell_length_c 9.029
_cell_angle_alpha 85.30
_cell_angle_beta 76.94
_cell_angle_gamma 81.82
_symmetry_space_group_name_H-M 'P -1'
_symmetry_Int_Tables_number 2
loop_
_symmetry_equiv_pos_as_xyz
'x,y,z'
'-x,-y,-z'
loop_
_atom_site_label
_atom_site_fract_x
_atom_site_fract_y
_atom_site_fract_z
Sm1 0.153 0.319 0.280
Sm2 0.332 0.881 0.696
Er1 0.000 0.256 0.953
Er2 0.175 0.810 0.364
Er3 0.315 0.391 0.621
Er4 0.500 0.000 0.000
Sc1 0.500 0.500 0.000


Record 3
# Sm2Dy9Tm3 (PBE-GGA, relaxed)
# **Formation enthalpy at 0 K**: 0.1836 eV per atom
# **Crystal system**: monoclinic
# **Density of states at the Fermi level**: 24.015 states/eV/f.u.
# **ρ**: 8.2 g/cm³
data_Sm2Dy9Tm3
_chemical_formula_sum 'Sm4 Dy18 Tm6'
_cell_length_a 17.071
_cell_length_b 10.255
_cell_length_c 5.536
_cell_angle_alpha 90.00
_cell_angle_beta 108.71
_cell_angle_gamma 90.00
_symmetry_space_group_name_H-M 'C 1 m 1'
_symmetry_Int_Tables_number 8
loop_
_symmetry_equiv_pos_as_xyz
'x,y,z'
'x,-y,z'
'x+1/2,y+1/2,z'
'x+1/2,-y+1/2,z'
loop_
_atom_site_label
_atom_site_fract_x
_atom_site_fract_y
_atom_site_fract_z
Sm1 0.000 0.179 0.000
Dy1 0.099 0.500 0.609
Dy2 0.113 0.169 0.613
Dy3 0.216 0.331 0.218
Dy4 0.306 0.163 0.807
Dy5 0.413 0.165 0.413
Tm1 0.207 0.000 0.207
Tm2 0.305 0.500 0.807
Tm3 0.422 0.500 0.423